[1]
Here is crystalline Al3Ga2 at its relaxed geometry from the Alexandria database. Energies are from PBE.

Results
- Energy above the most stable polymorph in this dataset: 87 meV per atom
- Crystal system: monoclinic
- Space-group type: C2/m (12)

Cell: 6.9070 6.9070 8.3083 Å, 107.26 107.26 29.41°
Last column: nearest neighbours and their distance in Å.
Atoms (fractional coordinates):
1 Al 0.0711 0.0711 0.3373  3 Ga 2.78-2.94, 6 Al 2.81-2.96
2 Al 0.3981 0.3981 0.9147  3 Ga 2.64-2.71, 3 Al 2.66-2.86
3 Al 0.4142 0.4142 0.3690  3 Al 2.63-2.81, 4 Ga 2.77-2.79
4 Al 0.5858 0.5858 0.6310  3 Al 2.63-2.81, 4 Ga 2.77-2.79
5 Al 0.6019 0.6019 0.0853  3 Ga 2.64-2.71, 3 Al 2.66-2.86
6 Al 0.9289 0.9289 0.6627  3 Ga 2.78-2.94, 6 Al 2.81-2.96
7 Ga 0.1723 0.1723 0.8950  5 Al 2.71-2.97, 3 Ga 2.73-2.86
8 Ga 0.2464 0.2464 0.6235  6 Al 2.64-2.94, 3 Ga 2.72-2.73
9 Ga 0.7536 0.7536 0.3765  6 Al 2.64-2.94, 3 Ga 2.72-2.73
10 Ga 0.8277 0.8277 0.1050  5 Al 2.71-2.97, 3 Ga 2.73-2.86

---

[2]
Here is crystalline BaLiSb3 at its relaxed geometry from the Alexandria database. Energies are from PBE.

Results
- Energy above the most stable polymorph in this dataset: 0 meV per atom
- Crystal system: cubic
- Raw formation energy: -164 kJ/mol of formula units
- Space-group type: Pm-3m (221)

Cell: 5.2810 5.2810 5.2810 Å, 90.00 90.00 90.00°
Last column: nearest neighbours and their distance in Å.
Atoms (fractional coordinates):
1 Ba 0.0000 0.0000 0.0000  12 Sb 3.73
2 Li 0.5000 0.5000 0.5000  6 Sb 2.64
3 Sb 0.0000 0.5000 0.5000  2 Li 2.64
4 Sb 0.5000 0.0000 0.5000  2 Li 2.64
5 Sb 0.5000 0.5000 0.0000  2 Li 2.64

---

[3]
Here is crystalline PmEr2Co at its relaxed geometry from the Alexandria database. Energies are from PBE.

Results
- Energy above the most stable polymorph in this dataset: 0 meV per atom
- Crystal system: orthorhombic
- Space-group type: Cmcm (63)

Cell: 3.6346 12.1005 9.3946 Å, 90.00 90.00 90.00°
Last column: nearest neighbours and their distance in Å.
Atoms (fractional coordinates):
1 Pm 0.0000 0.0823 0.2500  2 Co 2.77
2 Pm 0.0000 0.9177 0.7500  2 Co 2.77
3 Pm 0.5000 0.4177 0.7500  2 Co 2.77
4 Pm 0.5000 0.5823 0.2500  2 Co 2.77
5 Er 0.0000 0.3577 0.0727  2 Co 2.76
6 Er 0.0000 0.3577 0.4273  2 Co 2.76
7 Er 0.0000 0.6423 0.5727  2 Co 2.76
8 Er 0.0000 0.6423 0.9273  2 Co 2.76
9 Er 0.5000 0.1423 0.5727  2 Co 2.76
10 Er 0.5000 0.1423 0.9273  2 Co 2.76
11 Er 0.5000 0.8577 0.0727  2 Co 2.76
12 Er 0.5000 0.8577 0.4273  2 Co 2.76
13 Co 0.0000 0.2453 0.7500  4 Er 2.76, 2 Pm 2.77
14 Co 0.0000 0.7547 0.2500  4 Er 2.76, 2 Pm 2.77
15 Co 0.5000 0.2547 0.2500  4 Er 2.76, 2 Pm 2.77
16 Co 0.5000 0.7453 0.7500  4 Er 2.76, 2 Pm 2.77

---

[4]
Here is crystalline YAs at its relaxed geometry from the Alexandria database. Energies are from PBE.

Results
- Crystal system: cubic
- VASP energy: -11.734 eV per formula unit
- Space-group type: Fd-3m (227)

Cell: 7.1299 7.1299 7.1299 Å, 90.00 90.00 90.00°
Last column: nearest neighbours and their distance in Å.
Atoms (fractional coordinates):
1 Y 0.1250 0.1250 0.1250  4 As 3.09, 4 Y 3.09
2 Y 0.1250 0.6250 0.6250  4 As 3.09, 4 Y 3.09
3 Y 0.3750 0.3750 0.8750  4 Y 3.09, 4 As 3.09
4 Y 0.3750 0.8750 0.3750  4 Y 3.09, 4 As 3.09
5 Y 0.6250 0.1250 0.6250  4 As 3.09, 4 Y 3.09
6 Y 0.6250 0.6250 0.1250  4 As 3.09, 4 Y 3.09
7 Y 0.8750 0.3750 0.3750  4 Y 3.09, 4 As 3.09
8 Y 0.8750 0.8750 0.8750  4 Y 3.09, 4 As 3.09
9 As 0.1250 0.1250 0.6250  4 Y 3.09, 4 As 3.09
10 As 0.1250 0.6250 0.1250  4 Y 3.09, 4 As 3.09
11 As 0.3750 0.3750 0.3750  4 As 3.09, 4 Y 3.09
12 As 0.3750 0.8750 0.8750  4 As 3.09, 4 Y 3.09
13 As 0.6250 0.1250 0.1250  4 Y 3.09, 4 As 3.09
14 As 0.6250 0.6250 0.6250  4 Y 3.09, 4 As 3.09
15 As 0.8750 0.3750 0.8750  4 As 3.09, 4 Y 3.09
16 As 0.8750 0.8750 0.3750  4 As 3.09, 4 Y 3.09

---

[5]
Here is crystalline FeTe3P at its relaxed geometry from the Alexandria database. Energies are from PBE.

Results
- Energy above the most stable polymorph in this dataset: 696 meV per atom
- Crystal system: cubic
- Raw formation energy: 343 kJ/mol of formula units
- Space-group type: Pm-3m (221)

Cell: 4.9944 4.9944 4.9944 Å, 90.00 90.00 90.00°
Last column: nearest neighbours and their distance in Å.
Atoms (fractional coordinates):
1 Fe 0.0000 0.0000 0.0000  6 Te 2.50
2 Te 0.0000 0.0000 0.5000  2 Fe 2.50
3 Te 0.0000 0.5000 0.0000  2 Fe 2.50
4 Te 0.5000 0.0000 0.0000  2 Fe 2.50
5 P 0.5000 0.5000 0.5000  12 Te 3.53

---

[6]
Here is crystalline AcPm5Pr12 at its relaxed geometry from the Alexandria database. Energies are from PBE.

Results
- Crystal system: monoclinic
- VASP energy: -83.486 eV per formula unit
- Space-group type: C2/m (12)

Cell: 10.7462 10.7462 6.1655 Å, 90.29 90.29 113.31°
Last column: nearest neighbours and their distance in Å.
Atoms (fractional coordinates):
1 Ac 0.0000 0.0000 0.0000  10 Pr 3.58-4.01
2 Pm 0.1682 0.8318 0.5000  8 Pr 3.46-3.85
3 Pm 0.3232 0.6768 0.0000  8 Pr 3.44-3.75
4 Pm 0.5000 0.5000 0.5000  10 Pr 3.43-3.81
5 Pm 0.6768 0.3232 0.0000  8 Pr 3.44-3.75
6 Pm 0.8318 0.1682 0.5000  8 Pr 3.46-3.85
7 Pr 0.0191 0.3499 0.9383  3 Pm 3.46-3.75, 5 Pr 3.49-3.82, 1 Ac 3.71
8 Pr 0.1576 0.4910 0.4413  4 Pm 3.44-3.85, 5 Pr 3.49-3.82
9 Pr 0.1787 0.1787 0.5338  6 Pr 3.50-3.88, 2 Ac 3.58-3.89, 3 Pm 3.69-3.80
10 Pr 0.3390 0.3390 0.0333  4 Pm 3.43-3.81, 5 Pr 3.53-3.83
11 Pr 0.3499 0.0191 0.9383  3 Pm 3.46-3.75, 5 Pr 3.49-3.82, 1 Ac 3.71
12 Pr 0.4910 0.1576 0.4413  4 Pm 3.44-3.85, 5 Pr 3.49-3.82
13 Pr 0.5090 0.8424 0.5587  4 Pm 3.44-3.85, 5 Pr 3.49-3.82
14 Pr 0.6501 0.9809 0.0617  3 Pm 3.46-3.75, 5 Pr 3.49-3.82, 1 Ac 3.71
15 Pr 0.6610 0.6610 0.9667  4 Pm 3.43-3.81, 5 Pr 3.53-3.83
16 Pr 0.8213 0.8213 0.4662  6 Pr 3.50-3.88, 2 Ac 3.58-3.89, 3 Pm 3.69-3.80
17 Pr 0.8424 0.5090 0.5587  4 Pm 3.44-3.85, 5 Pr 3.49-3.82
18 Pr 0.9809 0.6501 0.0617  3 Pm 3.46-3.75, 5 Pr 3.49-3.82, 1 Ac 3.71

---

[7]
Here is crystalline La2NiSb4Rh3 at its relaxed geometry from the Alexandria database. Energies are from PBE.

Results
- Crystal system: tetragonal
- Raw formation energy: -787 kJ/mol of formula units
- Space-group type: P-4m2 (115)

Cell: 4.5912 4.5912 10.3913 Å, 90.00 90.00 90.00°
Last column: nearest neighbours and their distance in Å.
Atoms (fractional coordinates):
1 La 0.0000 0.5000 0.2411  2 Ni 3.40, 6 Rh 3.40-3.54, 9 Sb 3.46-3.81
2 La 0.5000 0.0000 0.7589  2 Ni 3.40, 6 Rh 3.40-3.54, 9 Sb 3.46-3.81
3 Ni 0.5000 0.5000 0.0000  4 Sb 2.64
4 Sb 0.0000 0.0000 0.5000  4 Rh 2.63
5 Sb 0.0000 0.5000 0.8749  3 Rh 2.61-2.64, 2 Ni 2.64
6 Sb 0.5000 0.0000 0.1251  3 Rh 2.61-2.64, 2 Ni 2.64
7 Sb 0.5000 0.5000 0.5000  4 Rh 2.63
8 Rh 0.0000 0.0000 0.0000  4 Sb 2.64
9 Rh 0.0000 0.5000 0.6240  5 Sb 2.61-2.63
10 Rh 0.5000 0.0000 0.3760  5 Sb 2.61-2.63

---

[8]
Here is crystalline LiTiAsBr2 at its relaxed geometry from the Alexandria database. Energies are from PBE.

Results
- Energy above the most stable polymorph in this dataset: 696 meV per atom
- Crystal system: tetragonal
- Raw formation energy: 63 kJ/mol of formula units
- Space-group type: P4/mmm (123)

Cell: 4.5780 4.5780 5.3039 Å, 90.00 90.00 90.00°
Last column: nearest neighbours and their distance in Å.
Atoms (fractional coordinates):
1 Li 0.0000 0.0000 0.0000  4 Br 2.29
2 Ti 0.5000 0.5000 0.5000  4 As 3.24, 8 Br 3.50
3 As 0.0000 0.0000 0.5000  2 Li 2.65
4 Br 0.0000 0.5000 0.0000  2 Li 2.29
5 Br 0.5000 0.0000 0.0000  2 Li 2.29

---

Number 1: total moment 0.000 μB per atom. Number 2: total moment 0.000 μB per atom. Number 3: total moment 0.000 μB per atom. Number 4: total moment 0.000 μB per atom. Number 5: total moment 0.462 μB per atom. Number 6: total moment 0.000 μB per atom. Number 7: total moment 0.000 μB per atom. Number 8: total moment 0.000 μB per atom.